Below is a relaxed structure of Tm6RuO12, with properties calculated at the PBE level.

Cell lengths 6.3728, 6.3728, 6.3728 Å; angles 98.67, 98.67, 98.67 degrees
Atoms (fractional coordinates):
Tm  0.1113  0.6435  0.8154
Tm  0.1846  0.8887  0.3565
Tm  0.3565  0.1846  0.8887
Tm  0.6435  0.8154  0.1113
Tm  0.8154  0.1113  0.6435
Tm  0.8887  0.3565  0.1846
Ru  0.5000  0.5000  0.5000
O  0.0683  0.3224  0.9101
O  0.0899  0.9317  0.6776
O  0.1990  0.5371  0.4242
O  0.3224  0.9101  0.0683
O  0.4242  0.1990  0.5371
O  0.4629  0.5758  0.8010
O  0.5371  0.4242  0.1990
O  0.5758  0.8010  0.4629
O  0.6776  0.0899  0.9317
O  0.8010  0.4629  0.5758
O  0.9101  0.0683  0.3224
O  0.9317  0.6776  0.0899

Properties
Symmetry = R-3, No. 148
Total magnetic moment = 1.99 μB per cell
Energy relative to the elements, uncorrected = -3.07 eV/atom



Below is a relaxed structure of Tm12Ru3O5, with properties calculated at the PBE level.

Cell lengths 12.8922, 12.8922, 12.8922 Å; angles 109.47, 109.47, 109.47 degrees
Atoms (fractional coordinates):
Tm  0.0243  0.2080  0.1207
Tm  0.0243  0.3163  0.9036
Tm  0.0873  0.7080  0.6837
Tm  0.0873  0.8793  0.4036
Tm  0.0964  0.6207  0.4127
Tm  0.0964  0.9757  0.6837
Tm  0.1207  0.0243  0.2080
Tm  0.1207  0.5964  0.9127
Tm  0.1837  0.2080  0.5873
Tm  0.1837  0.4757  0.5964
Tm  0.2080  0.1207  0.0243
Tm  0.2080  0.5873  0.1837
Tm  0.2920  0.3163  0.9127
Tm  0.2920  0.4757  0.3793
Tm  0.3163  0.9036  0.0243
Tm  0.3163  0.9127  0.2920
Tm  0.3793  0.2920  0.4757
Tm  0.3793  0.5873  0.9036
Tm  0.4036  0.0873  0.8793
Tm  0.4036  0.8163  0.5243
Tm  0.4127  0.0964  0.6207
Tm  0.4127  0.8163  0.7920
Tm  0.4757  0.3793  0.2920
Tm  0.4757  0.5964  0.1837
Tm  0.5243  0.4036  0.8163
Tm  0.5243  0.6207  0.7080
Tm  0.5873  0.1837  0.2080
Tm  0.5873  0.9036  0.3793
Tm  0.5964  0.1837  0.4757
Tm  0.5964  0.9127  0.1207
Tm  0.6207  0.4127  0.0964
Tm  0.6207  0.7080  0.5243
Tm  0.6837  0.0873  0.7080
Tm  0.6837  0.0964  0.9757
Tm  0.7080  0.5243  0.6207
Tm  0.7080  0.6837  0.0873
Tm  0.7920  0.4127  0.8163
Tm  0.7920  0.8793  0.9757
Tm  0.8163  0.5243  0.4036
Tm  0.8163  0.7920  0.4127
Tm  0.8793  0.4036  0.0873
Tm  0.8793  0.9757  0.7920
Tm  0.9036  0.0243  0.3163
Tm  0.9036  0.3793  0.5873
Tm  0.9127  0.1207  0.5964
Tm  0.9127  0.2920  0.3163
Tm  0.9757  0.6837  0.0964
Tm  0.9757  0.7920  0.8793
Ru  0.1250  0.2500  0.3750
Ru  0.1250  0.3750  0.7500
Ru  0.2500  0.3750  0.1250
Ru  0.2500  0.8750  0.6250
Ru  0.3750  0.1250  0.2500
Ru  0.3750  0.7500  0.1250
Ru  0.6250  0.2500  0.8750
Ru  0.6250  0.8750  0.7500
Ru  0.7500  0.1250  0.3750
Ru  0.7500  0.6250  0.8750
Ru  0.8750  0.6250  0.2500
Ru  0.8750  0.7500  0.6250
O  0.0000  0.0000  0.0000
O  0.0000  0.0000  0.5000
O  0.0000  0.5000  0.0000
O  0.0000  0.5000  0.5000
O  0.1250  0.7500  0.8750
O  0.1250  0.8750  0.2500
O  0.2500  0.1250  0.8750
O  0.2500  0.6250  0.3750
O  0.3750  0.2500  0.6250
O  0.3750  0.6250  0.7500
O  0.5000  0.0000  0.0000
O  0.5000  0.0000  0.5000
O  0.5000  0.5000  0.0000
O  0.5000  0.5000  0.5000
O  0.6250  0.3750  0.2500
O  0.6250  0.7500  0.3750
O  0.7500  0.3750  0.6250
O  0.7500  0.8750  0.1250
O  0.8750  0.1250  0.7500
O  0.8750  0.2500  0.1250

Properties
Symmetry = Ia-3d, No. 230
Total magnetic moment = 0.00 μB per cell
Energy relative to the elements, uncorrected = -1.60 eV/atom



Below is a relaxed structure of Tm4Ru6O19, with properties calculated at the PBE level.

Cell lengths 7.7127, 7.7127, 7.7127 Å; angles 109.47, 109.47, 109.47 degrees
Atoms (fractional coordinates):
Tm  0.0000  0.0000  0.7078
Tm  0.0000  0.7078  0.0000
Tm  0.2922  0.2922  0.2922
Tm  0.7078  0.0000  0.0000
Ru  0.1400  0.6400  0.5000
Ru  0.3600  0.5000  0.8600
Ru  0.5000  0.1400  0.6400
Ru  0.5000  0.8600  0.3600
Ru  0.6400  0.5000  0.1400
Ru  0.8600  0.3600  0.5000
O  0.0000  0.0000  0.0000
O  0.0000  0.3173  0.3173
O  0.0000  0.6827  0.6827
O  0.0541  0.2978  0.6790
O  0.2437  0.9459  0.6249
O  0.2978  0.6790  0.0541
O  0.3173  0.0000  0.3173
O  0.3173  0.3173  0.0000
O  0.3210  0.6189  0.3751
O  0.3751  0.3210  0.6189
O  0.3811  0.7022  0.7563
O  0.6189  0.3751  0.3210
O  0.6249  0.2437  0.9459
O  0.6790  0.0541  0.2978
O  0.6827  0.0000  0.6827
O  0.6827  0.6827  0.0000
O  0.7022  0.7563  0.3811
O  0.7563  0.3811  0.7022
O  0.9459  0.6249  0.2437

Properties
Symmetry = I23, No. 197
Total magnetic moment = 8.20 μB per cell
Energy relative to the elements, uncorrected = -1.78 eV/atom



Below is a relaxed structure of Tm2RuO, with properties calculated at the PBE level.

Cell lengths 3.1602, 3.1602, 6.6380 Å; angles 90.00, 90.00, 90.00 degrees
Atoms (fractional coordinates):
Tm  0.0000  0.0000  0.2387
Tm  0.0000  0.0000  0.7613
Ru  0.5000  0.5000  0.5000
O  0.5000  0.5000  0.0000

Properties
Symmetry = P4/mmm, No. 123
Total magnetic moment = 0.00 μB per cell
Distance to the lowest polymorph of the same formula = 267 meV/atom
Energy relative to the elements, uncorrected = -1.25 eV/atom



Below is a relaxed structure of Tm2RuO, with properties calculated at the PBE level.

Cell lengths 7.2719, 7.2719, 7.2719 Å; angles 26.64, 26.64, 26.64 degrees
Atoms (fractional coordinates):
Tm  0.2376  0.2376  0.2376
Tm  0.7624  0.7624  0.7624
Ru  0.0000  0.0000  0.0000
O  0.5000  0.5000  0.5000

Properties
Symmetry = R-3m, No. 166
Total magnetic moment = 0.19 μB per cell
Distance to the lowest polymorph of the same formula = 0 meV/atom
Energy relative to the elements, uncorrected = -1.52 eV/atom



Below is a relaxed structure of YTmRuO6, with properties calculated at the PBE level.

Cell lengths 5.4300, 5.4300, 9.5479 Å; angles 90.00, 90.00, 120.00 degrees
Atoms (fractional coordinates):
Y  0.0000  0.0000  0.0000
Y  0.0000  0.0000  0.5000
Tm  0.3333  0.6667  0.2500
Tm  0.6667  0.3333  0.7500
Ru  0.3333  0.6667  0.7500
Ru  0.6667  0.3333  0.2500
O  0.0377  0.3690  0.6353
O  0.0377  0.6687  0.8647
O  0.3313  0.3690  0.8647
O  0.3313  0.9623  0.6353
O  0.3690  0.0377  0.1353
O  0.3690  0.3313  0.3647
O  0.6310  0.6687  0.6353
O  0.6310  0.9623  0.8647
O  0.6687  0.0377  0.3647
O  0.6687  0.6310  0.1353
O  0.9623  0.3313  0.1353
O  0.9623  0.6310  0.3647

Properties
Symmetry = P-31c, No. 163
Total magnetic moment = 4.03 μB per cell
Energy relative to the elements, uncorrected = -2.29 eV/atom



Below is a relaxed structure of URuO, with properties calculated at the PBE level.

Cell lengths 7.3715, 6.6812, 6.0526 Å; angles 70.55, 58.72, 50.73 degrees
Atoms (fractional coordinates):
U  0.0602  0.6898  0.0602
U  0.3102  0.9398  0.3102
U  0.6898  0.0602  0.6898
U  0.9398  0.3102  0.9398
Ru  0.0000  0.5000  0.5000
Ru  0.5000  0.0000  0.5000
Ru  0.5000  0.5000  0.0000
Ru  0.5000  0.5000  0.5000
O  0.0070  0.0070  0.2430
O  0.2430  0.2430  0.0070
O  0.7570  0.7570  0.9930
O  0.9930  0.9930  0.7570

Properties
Symmetry = Fddd, No. 70
Total magnetic moment = 2.83 μB per cell
Energy relative to the elements, uncorrected = -1.23 eV/atom